## BeAgMo2 (PBE)

Data for an optimized crystal structure of BeAgMo2.

Structure (POSCAR):
```
BeAgMo2
1.0
-2.8621 -4.1232 0.7179
-0.3710 -3.3680 -3.7718
3.6792 2.4759 2.4579
Be Mo Ag
1 2 1
direct
0.7500 0.2500 0.5000
0.0000 0.0000 0.0000
0.5000 0.5000 0.0000
0.2500 0.7500 0.5000
```

Calculated values
N(E_F) = 2.033 states/eV per cell
Energy relative to the elements = 0.35 eV/atom
Final energy = -6.711 eV per atom